No. 1
Material: ThZrB4
Method: DFT, PBE
State: optimized geometry

The structure in POSCAR format:
```
ThZrB4
1.0
6.287 0.000 0.000
0.000 12.162 0.000
0.000 0.000 3.895
Th Zr B
4 4 16
direct
0.127 0.151 0.000 Th
0.373 0.651 0.000 Th
0.627 0.349 0.000 Th
0.873 0.849 0.000 Th
0.135 0.412 0.000 Zr
0.365 0.912 0.000 Zr
0.635 0.088 0.000 Zr
0.865 0.588 0.000 Zr
0.027 0.693 0.500 B
0.114 0.547 0.500 B
0.132 0.970 0.500 B
0.208 0.812 0.500 B
0.292 0.312 0.500 B
0.368 0.470 0.500 B
0.386 0.047 0.500 B
0.473 0.193 0.500 B
0.527 0.807 0.500 B
0.614 0.953 0.500 B
0.632 0.530 0.500 B
0.708 0.688 0.500 B
0.792 0.188 0.500 B
0.868 0.030 0.500 B
0.886 0.453 0.500 B
0.973 0.307 0.500 B
```

Output
- space group = Pbam (55)
- M_tot (μB per atom) = 0.00
- energy of formation from the pure elements (meV per atom) = -562.1
- V (Å³ per cell) = 297.8

=====

No. 2
Material: TiB
Method: DFT, PBE
State: optimized geometry

The structure in POSCAR format:
```
TiB
1.0
4.528 0.000 0.000
0.000 4.528 0.000
0.000 0.000 4.528
Ti B
4 4
direct
0.000 0.000 0.000 Ti
0.000 0.500 0.500 Ti
0.500 0.000 0.500 Ti
0.500 0.500 0.000 Ti
0.000 0.000 0.500 B
0.000 0.500 0.000 B
0.500 0.000 0.000 B
0.500 0.500 0.500 B
```

Output
- space group = Fm-3m (225)
- M_tot (μB per atom) = 0.00
- energy of formation from the pure elements (meV per atom) = -325.6
- V (Å³ per cell) = 92.9

=====

No. 3
Material: Ti5B
Method: DFT, PBE
State: optimized geometry

The structure in POSCAR format:
```
Ti5B
1.0
4.094 0.000 0.000
0.000 13.392 0.000
0.000 0.000 3.282
Ti B
10 2
direct
0.000 0.000 0.000 Ti
0.000 0.180 0.500 Ti
0.000 0.368 0.000 Ti
0.000 0.632 0.000 Ti
0.000 0.820 0.500 Ti
0.500 0.132 0.000 Ti
0.500 0.320 0.500 Ti
0.500 0.500 0.000 Ti
0.500 0.680 0.500 Ti
0.500 0.868 0.000 Ti
0.000 0.500 0.500 B
0.500 0.000 0.500 B
```

Output
- space group = Cmmm (65)
- M_tot (μB per atom) = 0.00
- energy of formation from the pure elements (meV per atom) = 4.5
- V (Å³ per cell) = 180.0